An optimized crystal structure of BaCa2Y2, computed with GGA-PBE.

Properties
Formation energy, eV/atom: 0.188
Polymorph energy (0 for the lowest one), meV per atom: 0.0

abc: 10.226 10.226 3.954
angles: 90.00 90.00 90.00
Fractional positions:
Ba  0.000  0.000  0.000
Ba  0.500  0.500  0.000
Ca  0.173  0.327  0.500
Ca  0.327  0.827  0.500
Ca  0.673  0.173  0.500
Ca  0.827  0.673  0.500
Y  0.117  0.617  0.000
Y  0.383  0.117  0.000
Y  0.617  0.883  0.000
Y  0.883  0.383  0.000